# BaYCo2O5

An optimized crystal structure of BaYCo2O5 (PBE+U, OQMD).

Output
E   -6.749 eV/atom

Cell: 3.8498 3.9019 7.6010 Å, 90.00 90.00 90.00°
Space group Pmmm (No. 47)
Inequivalent atoms, fractional coordinates:
Ba  0.0000  0.0000  0.0000
Y  0.0000  0.0000  0.5000
Co  0.5000  0.5000  0.2631
O  0.0000  0.5000  0.3159
O  0.5000  0.0000  0.3121
O  0.5000  0.5000  0.0000



# BaYCo4O7

An optimized crystal structure of BaYCo4O7 (PBE+U, OQMD).

Output
E   -6.647 eV/atom

Cell: 6.3440 11.0729 10.2302 Å, 90.00 90.00 90.00°
Space group Cmc2_1 (No. 36)
Inequivalent atoms, fractional coordinates:
Ba  0.0000  0.1694  0.0000
Y  0.0000  0.1661  0.3769
Co  0.0000  0.3332  0.6954
Co  0.0000  0.4989  0.4512
Co  0.2461  0.0849  0.6948
O  0.0000  0.0012  0.7579
O  0.0000  0.3386  0.5022
O  0.0000  0.4978  0.2625
O  0.2383  0.4143  0.0038
O  0.2470  0.2497  0.7568